#A
DFT (PBE-GGA) results for a relaxed structure of La3Pm4Ho4.

Cell lengths 12.227, 12.227, 12.227 Å; angles 162.90, 134.24, 49.20 degrees
Fractional positions:
1 La 0.000 0.000 0.000
2 La 0.391 0.891 0.500
3 La 0.609 0.109 0.500
4 Pm 0.031 0.353 0.679
5 Pm 0.326 0.647 0.679
6 Pm 0.674 0.353 0.321
7 Pm 0.969 0.647 0.321
8 Ho 0.258 0.258 0.000
9 Ho 0.318 0.500 0.818
10 Ho 0.682 0.500 0.182
11 Ho 0.742 0.742 0.000

Output
The value obtained for the total magnetization is 0.000 μB per formula unit. The space group is No. 71.

***

#B
DFT (PBE-GGA) results for a relaxed structure of La3Pm4Ho4.

Cell lengths 10.847, 6.743, 6.743 Å; angles 50.83, 90.00, 90.00 degrees
Fractional positions:
1 La 0.000 0.000 0.000
2 La 0.288 0.159 0.159
3 La 0.712 0.159 0.159
4 Pm 0.000 0.704 0.704
5 Pm 0.216 0.496 0.496
6 Pm 0.500 0.632 0.632
7 Pm 0.784 0.496 0.496
8 Ho 0.000 0.305 0.305
9 Ho 0.305 0.855 0.855
10 Ho 0.500 0.361 0.361
11 Ho 0.695 0.855 0.855

Output
The value obtained for the total magnetization is 0.000 μB per formula unit. The space group is No. 38.

***

Which structure is the least stable? The one labeled #B.

***

#A
DFT (PBE-GGA) results for a relaxed structure of La3Pm4Ho5.

Cell lengths 6.271, 7.240, 8.888 Å; angles 89.83, 89.88, 89.91 degrees
Fractional positions:
1 La 0.000 0.000 0.000
2 La 0.168 0.250 0.332
3 La 0.832 0.750 0.668
4 Pm 0.170 0.750 0.332
5 Pm 0.331 0.500 0.670
6 Pm 0.669 0.500 0.330
7 Pm 0.830 0.250 0.668
8 Ho 0.000 0.500 0.000
9 Ho 0.335 0.000 0.669
10 Ho 0.498 0.749 0.000
11 Ho 0.502 0.251 0.000
12 Ho 0.665 0.000 0.331

Output
The value obtained for the total magnetization is 0.001 μB per formula unit. The space group is No. 2.

***

#B
DFT (PBE-GGA) results for a relaxed structure of La3Pm4Ho5.

Cell lengths 8.640, 8.640, 9.433 Å; angles 114.60, 114.60, 40.84 degrees
Fractional positions:
1 La 0.000 0.000 0.000
2 La 0.291 0.291 0.768
3 La 0.709 0.709 0.232
4 Pm 0.293 0.293 0.121
5 Pm 0.416 0.416 0.555
6 Pm 0.584 0.584 0.445
7 Pm 0.707 0.707 0.879
8 Ho 0.071 0.071 0.696
9 Ho 0.172 0.172 0.388
10 Ho 0.500 0.500 0.000
11 Ho 0.828 0.828 0.612
12 Ho 0.929 0.929 0.304

Output
The value obtained for the total magnetization is 0.003 μB per formula unit. The space group is No. 12.

***

Which structure is the least stable? The one labeled #B.

***

#A
DFT (PBE-GGA) results for a relaxed structure of La2PmHo.

Cell lengths 3.679, 3.679, 35.510 Å; angles 90.00, 90.00, 120.00 degrees
Fractional positions:
1 La 0.000 0.000 0.249
2 La 0.000 0.000 0.751
3 La 0.333 0.667 0.418
4 La 0.333 0.667 0.915
5 La 0.667 0.333 0.085
6 La 0.667 0.333 0.582
7 Pm 0.000 0.000 0.000
8 Pm 0.333 0.667 0.667
9 Pm 0.667 0.333 0.333
10 Ho 0.000 0.000 0.500
11 Ho 0.333 0.667 0.167
12 Ho 0.667 0.333 0.833

Output
The value obtained for the total magnetization is 0.000 μB per formula unit. The space group is No. 166.

***

#B
DFT (PBE-GGA) results for a relaxed structure of La2PmHo.

Cell lengths 3.674, 3.674, 35.770 Å; angles 90.00, 90.00, 120.00 degrees
Fractional positions:
1 La 0.000 0.000 0.000
2 La 0.000 0.000 0.169
3 La 0.333 0.667 0.667
4 La 0.333 0.667 0.836
5 La 0.667 0.333 0.333
6 La 0.667 0.333 0.502
7 Pm 0.000 0.000 0.752
8 Pm 0.333 0.667 0.419
9 Pm 0.667 0.333 0.085
10 Ho 0.000 0.000 0.584
11 Ho 0.333 0.667 0.250
12 Ho 0.667 0.333 0.917

Output
The value obtained for the total magnetization is 0.000 μB per formula unit. The space group is No. 160.

***

#C
DFT (PBE-GGA) results for a relaxed structure of La2PmHo.

Cell lengths 8.263, 8.263, 8.263 Å; angles 90.00, 90.00, 90.00 degrees
Fractional positions:
1 La 0.250 0.250 0.250
2 La 0.250 0.250 0.750
3 La 0.250 0.750 0.250
4 La 0.250 0.750 0.750
5 La 0.750 0.250 0.250
6 La 0.750 0.250 0.750
7 La 0.750 0.750 0.250
8 La 0.750 0.750 0.750
9 Pm 0.000 0.000 0.000
10 Pm 0.000 0.500 0.500
11 Pm 0.500 0.000 0.500
12 Pm 0.500 0.500 0.000
13 Ho 0.000 0.000 0.500
14 Ho 0.000 0.500 0.000
15 Ho 0.500 0.000 0.000
16 Ho 0.500 0.500 0.500

Output
The value obtained for the total magnetization is 0.000 μB per formula unit. The space group is No. 225.

***

Which structure is the least stable? The one labeled #C.

***

#A
DFT (PBE-GGA) results for a relaxed structure of La2PmHo.

Cell lengths 3.702, 3.702, 10.168 Å; angles 90.00, 90.00, 90.00 degrees
Fractional positions:
1 La 0.000 0.000 0.246
2 La 0.000 0.000 0.754
3 Pm 0.500 0.500 0.500
4 Ho 0.500 0.500 0.000

Output
The value obtained for the total magnetization is 0.000 μB per formula unit. The space group is No. 123.

***

#B
DFT (PBE-GGA) results for a relaxed structure of La2PmHo.

Cell lengths 5.208, 5.208, 5.111 Å; angles 90.00, 90.00, 90.00 degrees
Fractional positions:
1 La 0.000 0.500 0.000
2 La 0.500 0.000 0.000
3 Pm 0.000 0.000 0.500
4 Ho 0.500 0.500 0.500

Output
The value obtained for the total magnetization is 0.001 μB per formula unit. The space group is No. 123.

***

Which structure is the least stable? The one labeled #A.

***

#A
DFT (PBE-GGA) results for a relaxed structure of La4Pm3Ho2.

Cell lengths 6.782, 6.782, 14.692 Å; angles 114.60, 114.60, 31.85 degrees
Fractional positions:
1 La 0.217 0.217 0.105
2 La 0.279 0.279 0.628
3 La 0.721 0.721 0.372
4 La 0.783 0.783 0.895
5 Pm 0.497 0.497 0.116
6 Pm 0.500 0.500 0.500
7 Pm 0.503 0.503 0.884
8 Ho 0.052 0.052 0.710
9 Ho 0.948 0.948 0.290

Output
The value obtained for the total magnetization is 0.000 μB per formula unit. The space group is No. 12.

***

#B
DFT (PBE-GGA) results for a relaxed structure of La4Pm3Ho2.

Cell lengths 8.203, 8.203, 8.150 Å; angles 107.38, 107.38, 37.02 degrees
Fractional positions:
1 La 0.055 0.055 0.330
2 La 0.277 0.277 0.670
3 La 0.723 0.723 0.330
4 La 0.945 0.945 0.670
5 Pm 0.388 0.388 0.330
6 Pm 0.500 0.500 0.000
7 Pm 0.612 0.612 0.670
8 Ho 0.168 0.168 0.999
9 Ho 0.832 0.832 0.001

Output
The value obtained for the total magnetization is 0.001 μB per formula unit. The space group is No. 12.

***

Which structure is the least stable? The one labeled #A.

***

#A
DFT (PBE-GGA) results for a relaxed structure of LaPm2Ho6.

Cell lengths 7.661, 7.661, 7.661 Å; angles 57.80, 57.80, 57.80 degrees
Fractional positions:
1 La 0.000 0.000 0.000
2 Pm 0.561 0.561 0.561
3 Pm 0.737 0.737 0.737
4 Ho 0.057 0.057 0.531
5 Ho 0.057 0.531 0.057
6 Ho 0.268 0.268 0.704
7 Ho 0.268 0.704 0.268
8 Ho 0.531 0.057 0.057
9 Ho 0.704 0.268 0.268

Output
The value obtained for the total magnetization is 0.000 μB per formula unit. The space group is No. 160.

***

#B
DFT (PBE-GGA) results for a relaxed structure of LaPm2Ho6.

Cell lengths 9.814, 9.814, 3.486 Å; angles 100.17, 100.17, 63.54 degrees
Fractional positions:
1 La 0.000 0.000 0.000
2 Pm 0.342 0.342 0.843
3 Pm 0.658 0.658 0.157
4 Ho 0.010 0.346 0.179
5 Ho 0.318 0.682 0.500
6 Ho 0.346 0.010 0.179
7 Ho 0.654 0.990 0.821
8 Ho 0.682 0.318 0.500
9 Ho 0.990 0.654 0.821

Output
The value obtained for the total magnetization is 0.000 μB per formula unit. The space group is No. 12.

***

Which structure is the least stable? The one labeled #A.